(1)
This record from the Alexandria database describes a relaxed structure of Ce4AsIr. The functional is PBE.

The structure in POSCAR format:
```
Ce4AsIr
1.0
4.188 -6.371 0.000
4.188 6.371 0.000
-2.482 0.000 5.354
Ce As Ir
8 2 2
direct
0.066 0.678 0.922
0.218 0.398 0.684
0.322 0.934 0.578
0.398 0.218 0.184
0.602 0.782 0.816
0.678 0.066 0.422
0.782 0.602 0.316
0.934 0.322 0.078
0.386 0.614 0.250
0.614 0.386 0.750
0.001 0.999 0.750
0.999 0.001 0.250
```

Results
SG = C2/c (15)


(2)
This record from the Alexandria database describes a relaxed structure of TaCdPd. The functional is PBE.

The structure in POSCAR format:
```
TaCdPd
1.0
3.213 0.000 0.000
0.000 3.213 0.000
0.000 0.000 10.701
Ta Cd Pd
2 2 2
direct
0.250 0.250 0.085
0.750 0.750 0.915
0.250 0.250 0.400
0.750 0.750 0.600
0.250 0.250 0.774
0.750 0.750 0.226
```

Results
SG = P4/nmm (129)


(3)
This record from the Alexandria database describes a relaxed structure of Y2HgAu2. The functional is PBE.

The structure in POSCAR format:
```
Y2HgAu2
1.0
-1.940 1.940 8.368
1.940 -1.940 8.368
1.940 1.940 -8.368
Y Hg Au
2 1 2
direct
0.108 0.108 0.000
0.892 0.892 0.000
0.500 0.500 0.000
0.250 0.750 0.500
0.750 0.250 0.500
```

Results
SG = I4/mmm (139)


(4)
This record from the Alexandria database describes a relaxed structure of NaAcInHg. The functional is PBE.

The structure in POSCAR format:
```
NaAcInHg
1.0
0.000 3.929 3.929
3.929 0.000 3.929
3.929 3.929 0.000
Na Ac In Hg
1 1 1 1
direct
0.000 0.000 0.000
0.500 0.500 0.500
0.250 0.250 0.250
0.750 0.750 0.750
```

Results
SG = F-43m (216)


| no. | calculated total energy (eV per atom) | ΔE_f (eV per atom) |
| --- | --- | --- |
| 1 | -6.8931 | -0.69 |
| 2 | -6.2226 | -0.24 |
| 3 | -4.4134 | -0.46 |
| 4 | -2.4490 | -0.33 |